(1)
# K2ZnReS (PBE, optimized geometry)
data_K2ZnReS
_chemical_formula_sum 'K2 Zn1 Re1 S1'
_space_group_name_H-M_alt 'P 4/m m m'
_space_group_IT_number 123
_space_group_name_Hall '-P 4 2'
_cell_length_a 6.494
_cell_length_b 6.494
_cell_length_c 4.408
_cell_angle_alpha 90.00
_cell_angle_beta 90.00
_cell_angle_gamma 90.00
loop_
_atom_site_label
_atom_site_fract_x
_atom_site_fract_y
_atom_site_fract_z
K1 0.000 0.500 0.000
Zn1 0.000 0.000 0.500
Re1 0.500 0.500 0.000
S1 0.500 0.500 0.500
# Relative energy among the computed polymorphs   101 meV per atom

(2)
Density functional theory data (PBE) for an optimized crystal structure of KZn2ReS.

The structure in CIF format:
```
data_KZn2ReS
_chemical_formula_sum 'K1 Zn2 Re1 S1'
_space_group_name_H-M_alt 'P 4/m m m'
_space_group_IT_number 123
_space_group_name_Hall '-P 4 2'
_cell_length_a 5.219
_cell_length_b 5.219
_cell_length_c 4.351
_cell_angle_alpha 90.00
_cell_angle_beta 90.00
_cell_angle_gamma 90.00
loop_
_atom_site_label
_atom_site_fract_x
_atom_site_fract_y
_atom_site_fract_z
K1 0.000 0.000 0.000
Zn1 0.000 0.500 0.500
Re1 0.500 0.500 0.000
S1 0.500 0.500 0.500
```

(3)
# K2ZnReS (PBE, optimized geometry)
data_K2ZnReS
_chemical_formula_sum 'K2 Zn1 Re1 S1'
_space_group_name_H-M_alt 'P 4/m m m'
_space_group_IT_number 123
_space_group_name_Hall '-P 4 2'
_cell_length_a 6.125
_cell_length_b 6.125
_cell_length_c 4.663
_cell_angle_alpha 90.00
_cell_angle_beta 90.00
_cell_angle_gamma 90.00
loop_
_atom_site_label
_atom_site_fract_x
_atom_site_fract_y
_atom_site_fract_z
K1 0.000 0.500 0.000
Zn1 0.000 0.000 0.500
Re1 0.500 0.500 0.500
S1 0.000 0.000 0.000
# Relative energy among the computed polymorphs   536 meV per atom

(4)
# K2ZnReS (PBE, optimized geometry)
data_K2ZnReS
_chemical_formula_sum 'K2 Zn1 Re1 S1'
_space_group_name_H-M_alt 'P 4/m m m'
_space_group_IT_number 123
_space_group_name_Hall '-P 4 2'
_cell_length_a 6.169
_cell_length_b 6.169
_cell_length_c 4.396
_cell_angle_alpha 90.00
_cell_angle_beta 90.00
_cell_angle_gamma 90.00
loop_
_atom_site_label
_atom_site_fract_x
_atom_site_fract_y
_atom_site_fract_z
K1 0.000 0.500 0.000
Zn1 0.000 0.000 0.500
Re1 0.500 0.500 0.500
S1 0.500 0.500 0.000
# Relative energy among the computed polymorphs   0 meV per atom

(5)
Density functional theory data (PBE) for an optimized crystal structure of KZrReS2.

The structure in CIF format:
```
data_KZrReS2
_chemical_formula_sum 'K1 Zr1 Re1 S2'
_space_group_name_H-M_alt 'P 4/m m m'
_space_group_IT_number 123
_space_group_name_Hall '-P 4 2'
_cell_length_a 5.126
_cell_length_b 5.126
_cell_length_c 5.231
_cell_angle_alpha 90.00
_cell_angle_beta 90.00
_cell_angle_gamma 90.00
loop_
_atom_site_label
_atom_site_fract_x
_atom_site_fract_y
_atom_site_fract_z
K1 0.000 0.000 0.000
Zr1 0.500 0.500 0.500
Re1 0.500 0.500 0.000
S1 0.000 0.500 0.500
```

(6)
# K3ReSb (PBE, optimized geometry)
data_K3ReSb
_chemical_formula_sum 'K3 Re1 Sb1'
_space_group_name_H-M_alt 'P m -3 m'
_space_group_IT_number 221
_space_group_name_Hall '-P 4 2 3'
_cell_length_a 6.686
_cell_length_b 6.686
_cell_length_c 6.686
_cell_angle_alpha 90.00
_cell_angle_beta 90.00
_cell_angle_gamma 90.00
loop_
_atom_site_label
_atom_site_fract_x
_atom_site_fract_y
_atom_site_fract_z
K1 0.000 0.000 0.500
Re1 0.500 0.500 0.500
Sb1 0.000 0.000 0.000
# Relative energy among the computed polymorphs   0 meV per atom

(7)
# KReSb (PBE, optimized geometry)
data_KReSb
_chemical_formula_sum 'K1 Re1 Sb1'
_space_group_name_H-M_alt 'P -6 m 2'
_space_group_IT_number 187
_space_group_name_Hall 'P -6 2'
_cell_length_a 5.2441
_cell_length_b 5.2441
_cell_length_c 2.8512
_cell_angle_alpha 90.00
_cell_angle_beta 90.00
_cell_angle_gamma 120.00
loop_
_atom_site_label
_atom_site_fract_x
_atom_site_fract_y
_atom_site_fract_z
K1 0.0000 0.0000 0.0000
Re1 0.6667 0.3333 0.5000
Sb1 0.3333 0.6667 0.5000
# Relative energy among the computed polymorphs   269 meV per atom

(8)
# KReSb (PBE, optimized geometry)
data_KReSb
_chemical_formula_sum 'K4 Re4 Sb4'
_space_group_name_H-M_alt 'F -4 3 m'
_space_group_IT_number 216
_space_group_name_Hall 'F -4 2 3'
_cell_length_a 7.262
_cell_length_b 7.262
_cell_length_c 7.262
_cell_angle_alpha 90.00
_cell_angle_beta 90.00
_cell_angle_gamma 90.00
loop_
_atom_site_label
_atom_site_fract_x
_atom_site_fract_y
_atom_site_fract_z
K1 0.000 0.000 0.000
Re1 0.250 0.250 0.750
Sb1 0.250 0.250 0.250
# Relative energy among the computed polymorphs   1324 meV per atom

(9)
# KRe3Sb (PBE, optimized geometry)
data_KRe3Sb
_chemical_formula_sum 'K1 Re3 Sb1'
_space_group_name_H-M_alt 'P m -3 m'
_space_group_IT_number 221
_space_group_name_Hall '-P 4 2 3'
_cell_length_a 4.656
_cell_length_b 4.656
_cell_length_c 4.656
_cell_angle_alpha 90.00
_cell_angle_beta 90.00
_cell_angle_gamma 90.00
loop_
_atom_site_label
_atom_site_fract_x
_atom_site_fract_y
_atom_site_fract_z
K1 0.000 0.000 0.000
Re1 0.000 0.000 0.500
Sb1 0.500 0.500 0.500
# Relative energy among the computed polymorphs   1162 meV per atom

(10)
Density functional theory data (PBE) for an optimized crystal structure of KRe4Sb.

The structure in CIF format:
```
data_KRe4Sb
_chemical_formula_sum 'K4 Re16 Sb4'
_space_group_name_H-M_alt 'F -4 3 m'
_space_group_IT_number 216
_space_group_name_Hall 'F -4 2 3'
_cell_length_a 7.642
_cell_length_b 7.642
_cell_length_c 7.642
_cell_angle_alpha 90.00
_cell_angle_beta 90.00
_cell_angle_gamma 90.00
loop_
_atom_site_label
_atom_site_fract_x
_atom_site_fract_y
_atom_site_fract_z
K1 0.000 0.000 0.000
Re1 0.125 0.125 0.625
Sb1 0.250 0.250 0.250
```

(11)
# KReSb (PBE, optimized geometry)
data_KReSb
_chemical_formula_sum 'K1 Re1 Sb1'
_space_group_name_H-M_alt 'P 3 m 1'
_space_group_IT_number 156
_cell_length_a 3.2865
_cell_length_b 3.2865
_cell_length_c 7.8271
_cell_angle_alpha 90.00
_cell_angle_beta 90.00
_cell_angle_gamma 120.00
loop_
_space_group_symop_operation_xyz
'x,y,z'
'-y,x-y,z'
'-x+y,-x,z'
'-y,-x,z'
'-x+y,y,z'
'x,x-y,z'
loop_
_atom_site_label
_atom_site_fract_x
_atom_site_fract_y
_atom_site_fract_z
K1 0.0000 0.0000 0.0000
Re1 0.6667 0.3333 0.3649
Sb1 0.3333 0.6667 0.6060
# Relative energy among the computed polymorphs   0 meV per atom

(12)
# KReSb (PBE, optimized geometry)
data_KReSb
_chemical_formula_sum 'K4 Re4 Sb4'
_space_group_name_H-M_alt 'F -4 3 m'
_space_group_IT_number 216
_space_group_name_Hall 'F -4 2 3'
_cell_length_a 6.677
_cell_length_b 6.677
_cell_length_c 6.677
_cell_angle_alpha 90.00
_cell_angle_beta 90.00
_cell_angle_gamma 90.00
loop_
_atom_site_label
_atom_site_fract_x
_atom_site_fract_y
_atom_site_fract_z
K1 0.000 0.000 0.000
Re1 0.250 0.250 0.750
Sb1 0.000 0.000 0.500
# Relative energy among the computed polymorphs   462 meV per atom

(13)
Density functional theory data (PBE) for an optimized crystal structure of KReSb4.

The structure in CIF format:
```
data_KReSb4
_chemical_formula_sum 'K4 Re4 Sb16'
_space_group_name_H-M_alt 'F -4 3 m'
_space_group_IT_number 216
_space_group_name_Hall 'F -4 2 3'
_cell_length_a 8.917
_cell_length_b 8.917
_cell_length_c 8.917
_cell_angle_alpha 90.00
_cell_angle_beta 90.00
_cell_angle_gamma 90.00
loop_
_atom_site_label
_atom_site_fract_x
_atom_site_fract_y
_atom_site_fract_z
K1 0.000 0.000 0.000
Re1 0.250 0.250 0.750
Sb1 0.123 0.123 0.377
```

(14)
# KRe3Sb (PBE, optimized geometry)
data_KRe3Sb
_chemical_formula_sum 'K1 Re3 Sb1'
_space_group_name_H-M_alt 'P m -3 m'
_space_group_IT_number 221
_space_group_name_Hall '-P 4 2 3'
_cell_length_a 4.986
_cell_length_b 4.986
_cell_length_c 4.986
_cell_angle_alpha 90.00
_cell_angle_beta 90.00
_cell_angle_gamma 90.00
loop_
_atom_site_label
_atom_site_fract_x
_atom_site_fract_y
_atom_site_fract_z
K1 0.000 0.000 0.000
Re1 0.000 0.500 0.500
Sb1 0.500 0.500 0.500
# Relative energy among the computed polymorphs   0 meV per atom

(15)
# KReSbTe2 (PBE, optimized geometry)
data_KReSbTe2
_chemical_formula_sum 'K1 Re1 Sb1 Te2'
_space_group_name_H-M_alt 'P 4/m m m'
_space_group_IT_number 123
_space_group_name_Hall '-P 4 2'
_cell_length_a 5.547
_cell_length_b 5.547
_cell_length_c 5.185
_cell_angle_alpha 90.00
_cell_angle_beta 90.00
_cell_angle_gamma 90.00
loop_
_atom_site_label
_atom_site_fract_x
_atom_site_fract_y
_atom_site_fract_z
K1 0.000 0.000 0.000
Re1 0.500 0.500 0.500
Sb1 0.500 0.500 0.000
Te1 0.000 0.500 0.500
# Relative energy among the computed polymorphs   0 meV per atom

no.,ΔE_f (raw) (eV/atom)
1,0.493
2,0.791
3,0.928
4,0.393
5,0.234
6,1.197
7,1.101
8,2.156
9,3.725
10,1.035
11,0.832
12,1.294
13,0.903
14,2.563
15,0.268